# Sr2CaBr (PBE-GGA, relaxed)
# Size of the total moment: 0.000 μB/f.u.
# Energy above the lowest structure with this stoichiometry: 35.0 meV/atom
# Density: 2.9 Mg/m³
# DOS(E_F): 3.670 states/eV/f.u.
# Uncorrected formation energy: -2.69 eV per formula unit
data_Sr2CaBr
_chemical_formula_sum 'Sr4 Ca2 Br2'
_space_group_name_H-M_alt 'C m m m'
_space_group_IT_number 65
_space_group_name_Hall '-C 2 2'
_cell_length_a 4.3947
_cell_length_b 6.8035
_cell_length_c 11.3350
_cell_angle_alpha 90.00
_cell_angle_beta 90.00
_cell_angle_gamma 90.00
loop_
_atom_site_label
_atom_site_type_symbol
_atom_site_fract_x
_atom_site_fract_y
_atom_site_fract_z
_atom_site_occupancy
Sr1 Sr 0.0000 0.0000 0.2155 1
Ca1 Ca 0.0000 0.5000 0.5000 1
Br1 Br 0.0000 0.5000 0.0000 1

# SrCa2Br (PBE-GGA, relaxed)
# Size of the total moment: 0.000 μB/f.u.
# Energy above the lowest structure with this stoichiometry: 51.8 meV/atom
# Density: 2.5 Mg/m³
# DOS(E_F): 4.832 states/eV/f.u.
# Uncorrected formation energy: -2.42 eV per formula unit
data_SrCa2Br
_chemical_formula_sum 'Sr1 Ca2 Br1'
_space_group_name_H-M_alt 'P 1 2/m 1'
_space_group_IT_number 10
_space_group_name_Hall '-P 2y'
_cell_length_a 6.8268
_cell_length_b 3.9786
_cell_length_c 6.8676
_cell_angle_alpha 90.00
_cell_angle_beta 119.68
_cell_angle_gamma 90.00
loop_
_atom_site_label
_atom_site_type_symbol
_atom_site_fract_x
_atom_site_fract_y
_atom_site_fract_z
_atom_site_occupancy
Sr1 Sr 0.0000 0.0000 0.0000 1
Ca1 Ca 0.3049 0.5000 0.6108 1
Br1 Br 0.5000 0.0000 0.0000 1

# Sr2Ca2Br (PBE-GGA, relaxed)
# Size of the total moment: 0.002 μB/f.u.
# Energy above the lowest structure with this stoichiometry: 0.0 meV/atom
# Density: 2.3 Mg/m³
# DOS(E_F): 7.272 states/eV/f.u.
# Uncorrected formation energy: -1.99 eV per formula unit
data_Sr2Ca2Br
_chemical_formula_sum 'Sr4 Ca4 Br2'
_space_group_name_H-M_alt 'P 4/m b m'
_space_group_IT_number 127
_space_group_name_Hall '-P 4 2ab'
_cell_length_a 8.3847
_cell_length_b 8.3847
_cell_length_c 6.7503
_cell_angle_alpha 90.00
_cell_angle_beta 90.00
_cell_angle_gamma 90.00
loop_
_atom_site_label
_atom_site_type_symbol
_atom_site_fract_x
_atom_site_fract_y
_atom_site_fract_z
_atom_site_occupancy
Sr1 Sr 0.1655 0.3345 0.0000 1
Ca1 Ca 0.1530 0.6530 0.5000 1
Br1 Br 0.0000 0.0000 0.0000 1